[1]
La2MnAu | PBE-GGA | relaxed

Computed properties:
theoretical density	7.6	g/cm3
crystal system	trigonal
ΔH_f (0 K)	-0.157	eV/atom
total magnetization	0.78	μB/atom

```
La2MnAu
1.0
4.584 0.000 0.000
-2.292 3.970 0.000
0.000 0.000 19.083
La Mn Au
6 3 3
Direct
0.000 0.000 0.000
0.000 0.000 0.192
0.333 0.667 0.667
0.333 0.667 0.859
0.667 0.333 0.333
0.667 0.333 0.525
0.000 0.000 0.425
0.333 0.667 0.092
0.667 0.333 0.758
0.000 0.000 0.766
0.333 0.667 0.433
0.667 0.333 0.099
```



[2]
LaMnAu2 | PBE-GGA | relaxed

Computed properties:
theoretical density	9.2	g/cm3
crystal system	tetragonal
ΔH_f (0 K)	-0.077	eV/atom
total magnetization	0.94	μB/atom

```
LaMnAu2
1.0
4.959 0.000 0.000
0.000 4.959 0.000
0.000 0.000 17.328
La Mn Au
4 4 8
Direct
0.000 0.000 0.000
0.000 0.500 0.250
0.500 0.000 0.750
0.500 0.500 0.500
0.000 0.000 0.500
0.000 0.500 0.750
0.500 0.000 0.250
0.500 0.500 0.000
0.146 0.250 0.625
0.250 0.646 0.875
0.250 0.854 0.375
0.354 0.250 0.125
0.646 0.750 0.125
0.750 0.146 0.375
0.750 0.354 0.875
0.854 0.750 0.625
```



[3]
La2MnAu | PBE-GGA | relaxed

Computed properties:
theoretical density	8.8	g/cm3
crystal system	tetragonal
ΔH_f (0 K)	-0.100	eV/atom
total magnetization	0.71	μB/atom

```
La2MnAu
1.0
4.511 0.000 0.000
0.000 4.511 0.000
0.000 0.000 9.837
La Mn Au
4 2 2
Direct
0.000 0.000 0.000
0.000 0.500 0.250
0.500 0.000 0.750
0.500 0.500 0.500
0.000 0.500 0.750
0.500 0.000 0.250
0.000 0.000 0.500
0.500 0.500 0.000
```



[4]
LaMn2MoAu | PBE-GGA | relaxed

Computed properties:
theoretical density	7.4	g/cm3
crystal system	tetragonal
ΔH_f (0 K)	0.831	eV/atom
total magnetization	1.34	μB/atom

```
LaMn2MoAu
1.0
4.714 0.000 0.000
0.000 4.714 0.000
0.000 0.000 5.503
La Mn Mo Au
1 2 1 1
Direct
0.000 0.000 0.000
0.000 0.500 0.500
0.500 0.000 0.500
0.000 0.000 0.500
0.500 0.500 0.000
```



[5]
LaMnP2Au | PBE-GGA | relaxed

Computed properties:
theoretical density	7.2	g/cm3
crystal system	tetragonal
ΔH_f (0 K)	-0.194	eV/atom
total magnetization	0.00	μB/atom

```
LaMnP2Au
1.0
4.379 0.000 0.000
0.000 4.379 0.000
0.000 0.000 5.415
La Mn P Au
1 1 2 1
Direct
0.000 0.000 0.000
0.000 0.000 0.500
0.000 0.500 0.500
0.500 0.000 0.500
0.500 0.500 0.000
```



[6]
La2MnRuAu | PBE-GGA | relaxed

Computed properties:
theoretical density	8.3	g/cm3
crystal system	tetragonal
ΔH_f (0 K)	0.542	eV/atom
total magnetization	0.57	μB/atom

```
La2MnRuAu
1.0
5.147 0.000 0.000
0.000 5.147 0.000
0.000 0.000 4.764
La Mn Ru Au
2 1 1 1
Direct
0.000 0.500 0.000
0.500 0.000 0.000
0.000 0.000 0.000
0.500 0.500 0.500
0.000 0.000 0.500
```